## LaSmGaHg (GGA-PBE)

Data for a relaxed structure of LaSmGaHg.

Cell: 3.7197 3.7197 7.8039 Å, 90.00 90.00 90.00°
Last column: nearest neighbours and their distance in Å.
Atoms (fractional coordinates):
Hg 0.0000 0.0000 0.8393  4 Sm 3.25, 4 La 3.45
Sm 0.5000 0.5000 0.5941  4 Ga 3.16, 4 Hg 3.25
La 0.5000 0.5000 0.1252  4 Ga 3.25, 4 Hg 3.45
Ga 0.0000 0.0000 0.3693  4 Sm 3.16, 4 La 3.25

Output
ΔE to the lowest computed polymorph: 0.000 eV/f.u.
space-group type: P4mm (99)

***

## LaSmGaHg (GGA-PBE)

Data for a relaxed structure of LaSmGaHg.

Cell: 5.3731 5.3731 5.3731 Å, 60.00 60.00 60.00°
Last column: nearest neighbours and their distance in Å.
Atoms (fractional coordinates):
Hg 0.7500 0.7500 0.7500  4 La 3.29, 4 Sm 3.29
Sm 0.0000 0.0000 0.0000  4 Ga 3.29, 4 Hg 3.29
La 0.5000 0.5000 0.5000  4 Hg 3.29, 4 Ga 3.29
Ga 0.2500 0.2500 0.2500  4 La 3.29, 4 Sm 3.29

Output
ΔE to the lowest computed polymorph: 0.132 eV/f.u.
space-group type: F-43m (216)

***

## SrLaGaHg (GGA-PBE)

Data for a relaxed structure of SrLaGaHg.

Cell: 5.5131 5.5131 5.5131 Å, 60.00 60.00 60.00°
Last column: nearest neighbours and their distance in Å.
Atoms (fractional coordinates):
Ga 0.2500 0.2500 0.2500  4 La 3.38, 4 Sr 3.38
Hg 0.7500 0.7500 0.7500  4 La 3.38, 4 Sr 3.38
La 0.5000 0.5000 0.5000  4 Ga 3.38, 4 Hg 3.38
Sr 0.0000 0.0000 0.0000  4 Hg 3.38, 4 Ga 3.38

Output
space-group type: F-43m (216)

***

Number 1: ΔE_f -0.536 eV per atom, total magnetic moment 0.0 μB per cell. Number 2: ΔE_f -0.503 eV per atom, total magnetic moment 0.4 μB per cell. Number 3: ΔE_f -0.485 eV per atom, total magnetic moment 0.0 μB per cell.